(1)
# KNbSb2

An optimized crystal structure of KNbSb2 (PBE, the Alexandria database).

crystal system: trigonal
density: 5667 kg/m³
final energy: -5.06 eV/atom
energy relative to the elements, uncorrected: -0.21 eV per atom
symmetry: R-3m, No. 166

a = 3.6450 Å, b = 3.6450 Å, c = 28.6893 Å
α = 90.00°, β = 90.00°, γ = 120.00°
Positions (direct):
K  0.0000  0.0000  0.0000
K  0.3333  0.6667  0.6667
K  0.6667  0.3333  0.3333
Nb  0.0000  0.0000  0.5000
Nb  0.3333  0.6667  0.1667
Nb  0.6667  0.3333  0.8333
Sb  0.0000  0.0000  0.2340
Sb  0.0000  0.0000  0.7660
Sb  0.3333  0.6667  0.4327
Sb  0.3333  0.6667  0.9007
Sb  0.6667  0.3333  0.0993
Sb  0.6667  0.3333  0.5673



(2)
# K6NbSb4

An optimized crystal structure of K6NbSb4 (PBE, the Alexandria database).

crystal system: hexagonal
density: 2927 kg/m³
final energy: -3.39 eV/atom
energy relative to the elements, uncorrected: -0.38 eV per atom
symmetry: P6_3mc, No. 186

a = 11.0975 Å, b = 11.0975 Å, c = 8.6649 Å
α = 90.00°, β = 90.00°, γ = 120.00°
Positions (direct):
K  0.0573  0.5287  0.0000
K  0.1443  0.2886  0.3150
K  0.1443  0.8557  0.3150
K  0.2886  0.1443  0.8150
K  0.4713  0.5287  0.0000
K  0.4713  0.9427  0.0000
K  0.5287  0.0573  0.5000
K  0.5287  0.4713  0.5000
K  0.7114  0.8557  0.3150
K  0.8557  0.1443  0.8150
K  0.8557  0.7114  0.8150
K  0.9427  0.4713  0.5000
Nb  0.3333  0.6667  0.6138
Nb  0.6667  0.3333  0.1138
Sb  0.1988  0.3976  0.7075
Sb  0.1988  0.8012  0.7075
Sb  0.3333  0.6667  0.3033
Sb  0.3976  0.1988  0.2075
Sb  0.6024  0.8012  0.7075
Sb  0.6667  0.3333  0.8033
Sb  0.8012  0.1988  0.2075
Sb  0.8012  0.6024  0.2075



(3)
# KNbSb3

An optimized crystal structure of KNbSb3 (PBE, the Alexandria database).

crystal system: cubic
density: 5075 kg/m³
final energy: -4.74 eV/atom
energy relative to the elements, uncorrected: -0.03 eV per atom
symmetry: Pm-3m, No. 221

a = 5.4594 Å, b = 5.4594 Å, c = 5.4594 Å
α = 90.00°, β = 90.00°, γ = 90.00°
Positions (direct):
K  0.0000  0.0000  0.0000
Nb  0.5000  0.5000  0.5000
Sb  0.0000  0.5000  0.5000
Sb  0.5000  0.0000  0.5000
Sb  0.5000  0.5000  0.0000



(4)
# KNbSb2

An optimized crystal structure of KNbSb2 (PBE, the Alexandria database).

crystal system: tetragonal
density: 3517 kg/m³
final energy: -4.74 eV/atom
energy relative to the elements, uncorrected: 0.12 eV per atom
symmetry: I-42d, No. 122

a = 7.5304 Å, b = 7.5304 Å, c = 12.5051 Å
α = 90.00°, β = 90.00°, γ = 90.00°
Positions (direct):
K  0.0000  0.0000  0.0000
K  0.0000  0.5000  0.2500
K  0.5000  0.0000  0.7500
K  0.5000  0.5000  0.5000
Nb  0.0000  0.0000  0.5000
Nb  0.0000  0.5000  0.7500
Nb  0.5000  0.0000  0.2500
Nb  0.5000  0.5000  0.0000
Sb  0.1364  0.2500  0.6250
Sb  0.2500  0.6364  0.8750
Sb  0.2500  0.8636  0.3750
Sb  0.3636  0.2500  0.1250
Sb  0.6364  0.7500  0.1250
Sb  0.7500  0.1364  0.3750
Sb  0.7500  0.3636  0.8750
Sb  0.8636  0.7500  0.6250



Which value of density does entry 2 give? 2927 kg/m³



Which formula does entry 1 have? KNbSb2



Please write out number 4 again, unchanged.
# KNbSb2

An optimized crystal structure of KNbSb2 (PBE, the Alexandria database).

crystal system: tetragonal
density: 3517 kg/m³
final energy: -4.74 eV/atom
energy relative to the elements, uncorrected: 0.12 eV per atom
symmetry: I-42d, No. 122

a = 7.5304 Å, b = 7.5304 Å, c = 12.5051 Å
α = 90.00°, β = 90.00°, γ = 90.00°
Positions (direct):
K  0.0000  0.0000  0.0000
K  0.0000  0.5000  0.2500
K  0.5000  0.0000  0.7500
K  0.5000  0.5000  0.5000
Nb  0.0000  0.0000  0.5000
Nb  0.0000  0.5000  0.7500
Nb  0.5000  0.0000  0.2500
Nb  0.5000  0.5000  0.0000
Sb  0.1364  0.2500  0.6250
Sb  0.2500  0.6364  0.8750
Sb  0.2500  0.8636  0.3750
Sb  0.3636  0.2500  0.1250
Sb  0.6364  0.7500  0.1250
Sb  0.7500  0.1364  0.3750
Sb  0.7500  0.3636  0.8750
Sb  0.8636  0.7500  0.6250